1.
Entry from the Open Quantum Materials Database: a geometry-optimized KSiAgSeS2 structure (PBE).

Values from the calculation:
- total energy (eV/atom) = -3.9001
- theoretical density (g cm⁻³) = 3.79

a b c (Å): 3.429 15.776 10.308
angles (deg): 90.00 90.00 90.00
Space group Cmcm (No. 63)
One atom of each set of equivalent atoms:
K 0.000 0.217 0.250 [4 per cell]
Si 0.000 0.500 0.000 [4 per cell]
Ag 0.000 0.100 0.750 [4 per cell]
Se 0.000 0.457 0.750 [4 per cell]
S 0.000 0.104 0.518 [8 per cell]

---

2.
Entry from the Open Quantum Materials Database: a geometry-optimized KSiAgSe2S structure (PBE).

Values from the calculation:
- total energy (eV/atom) = -3.7403
- theoretical density (g cm⁻³) = 4.25

a b c (Å): 3.639 14.927 10.511
angles (deg): 90.00 90.00 90.00
Space group Cmcm (No. 63)
One atom of each set of equivalent atoms:
K 0.000 0.226 0.250 [4 per cell]
Si 0.000 0.500 0.000 [4 per cell]
Ag 0.000 0.077 0.750 [4 per cell]
Se 0.000 0.117 0.516 [8 per cell]
S 0.000 0.455 0.750 [4 per cell]

---

3.
Entry from the Open Quantum Materials Database: a geometry-optimized KAgSnSe2S structure (PBE).

Values from the calculation:
- total energy (eV/atom) = -3.6550
- theoretical density (g cm⁻³) = 4.85

a b c (Å): 4.037 14.135 10.940
angles (deg): 90.00 90.00 90.00
Space group Cmcm (No. 63)
One atom of each set of equivalent atoms:
K 0.000 0.228 0.250 [4 per cell]
Ag 0.000 0.064 0.750 [4 per cell]
Sn 0.000 0.500 0.000 [4 per cell]
Se 0.000 0.134 0.529 [8 per cell]
S 0.000 0.450 0.750 [4 per cell]

---

4.
Entry from the Open Quantum Materials Database: a geometry-optimized KTcAgSe2S structure (PBE).

Values from the calculation:
- total energy (eV/atom) = -4.5460
- theoretical density (g cm⁻³) = 5.09

a b c (Å): 3.830 14.820 10.010
angles (deg): 90.00 90.00 90.00
Space group Cmcm (No. 63)
One atom of each set of equivalent atoms:
K 0.000 0.249 0.250 [4 per cell]
Tc 0.000 0.500 0.000 [4 per cell]
Ag 0.000 0.046 0.750 [4 per cell]
Se 0.000 0.120 0.521 [8 per cell]
S 0.000 0.438 0.750 [4 per cell]

---

5.
Entry from the Open Quantum Materials Database: a geometry-optimized KZrAgSe2S structure (PBE).

Values from the calculation:
- total energy (eV/atom) = -5.0317
- theoretical density (g cm⁻³) = 4.56

a b c (Å): 8.251 3.949 10.205
angles (deg): 90.00 110.15 90.00
Space group P2_1/m (No. 11)
One atom of each set of equivalent atoms:
K 0.249 0.250 0.285 [2 per cell]
Zr 0.304 0.750 0.840 [2 per cell]
Ag 0.071 0.250 0.606 [2 per cell]
Se 0.277 0.750 0.569 [2 per cell]
Se 0.446 0.750 0.128 [2 per cell]
S 0.107 0.250 0.859 [2 per cell]

---

6.
Entry from the Open Quantum Materials Database: a geometry-optimized KZrAgSeS2 structure (PBE).

Values from the calculation:
- total energy (eV/atom) = -5.1275
- theoretical density (g cm⁻³) = 4.27

a b c (Å): 3.871 14.732 10.401
angles (deg): 90.00 90.00 90.00
Space group Cmcm (No. 63)
One atom of each set of equivalent atoms:
K 0.000 0.247 0.250 [4 per cell]
Zr 0.000 0.000 0.000 [4 per cell]
Ag 0.000 0.454 0.750 [4 per cell]
Se 0.000 0.075 0.750 [4 per cell]
S 0.000 0.381 0.537 [8 per cell]

---

7.
Entry from the Open Quantum Materials Database: a geometry-optimized KZrAgSe2S structure (PBE).

Values from the calculation:
- total energy (eV/atom) = -4.9958
- theoretical density (g cm⁻³) = 4.72

a b c (Å): 3.977 14.740 10.282
angles (deg): 90.00 90.00 90.00
Space group Cmcm (No. 63)
One atom of each set of equivalent atoms:
K 0.000 0.241 0.250 [4 per cell]
Zr 0.000 0.500 0.000 [4 per cell]
Ag 0.000 0.044 0.750 [4 per cell]
Se 0.000 0.128 0.531 [8 per cell]
S 0.000 0.439 0.750 [4 per cell]

---

8.
Entry from the Open Quantum Materials Database: a geometry-optimized KZrAgSeS2 structure (PBE).

Values from the calculation:
- total energy (eV/atom) = -5.1730
- theoretical density (g cm⁻³) = 4.29

a b c (Å): 8.145 3.923 9.817
angles (deg): 90.00 109.96 90.00
Space group P2_1/m (No. 11)
One atom of each set of equivalent atoms:
K 0.233 0.250 0.206 [2 per cell]
Zr 0.184 0.750 0.658 [2 per cell]
Ag 0.422 0.250 0.894 [2 per cell]
Se 0.406 0.250 0.625 [2 per cell]
S 0.041 0.750 0.370 [2 per cell]
S 0.231 0.750 0.928 [2 per cell]